# 1
# PBE-GGA Pr8Te4As3N, optimized geometry
# Formation energy without anion corrections (eV/atom): -1.442
data_Pr8Te4As3N
_chemical_formula_sum 'Pr24 Te12 As9 N3'
_space_group_name_H-M_alt 'R -3 m'
_space_group_IT_number 166
_space_group_name_Hall '-R 3 2"'
_cell_length_a 8.5600
_cell_length_b 8.5600
_cell_length_c 22.0829
_cell_angle_alpha 90.00
_cell_angle_beta 90.00
_cell_angle_gamma 120.00
loop_
_atom_site_label
_atom_site_fract_x
_atom_site_fract_y
_atom_site_fract_z
Pr1 0.0000 0.0000 0.2405
Pr2 0.0240 0.5120 0.2357
Te1 0.0000 0.0000 0.0000
Te2 0.0000 0.5000 0.0000
As1 0.0000 0.5000 0.5000
N1 0.0000 0.0000 0.5000

---

# 2
# PBE-GGA TmHfIrO6, optimized geometry
# Formation energy without anion corrections (eV/atom): -2.396
data_TmHfIrO6
_chemical_formula_sum 'Tm2 Hf2 Ir2 O12'
_space_group_name_H-M_alt 'P -3 1 c'
_space_group_IT_number 163
_space_group_name_Hall '-P 3 2c'
_cell_length_a 5.2694
_cell_length_b 5.2694
_cell_length_c 9.6905
_cell_angle_alpha 90.00
_cell_angle_beta 90.00
_cell_angle_gamma 120.00
loop_
_atom_site_label
_atom_site_fract_x
_atom_site_fract_y
_atom_site_fract_z
Tm1 0.0000 0.0000 0.0000
Hf1 0.3333 0.6667 0.2500
Ir1 0.3333 0.6667 0.7500
O1 0.0136 0.3550 0.6360

---

# 3
# PBE-GGA Pu2CuSi2Pt5, optimized geometry
# Formation energy without anion corrections (eV/atom): -0.637
data_Pu2CuSi2Pt5
_chemical_formula_sum 'Pu4 Cu2 Si4 Pt10'
_space_group_name_H-M_alt 'P 4/m b m'
_space_group_IT_number 127
_space_group_name_Hall '-P 4 2ab'
_cell_length_a 10.874
_cell_length_b 10.874
_cell_length_c 2.886
_cell_angle_alpha 90.00
_cell_angle_beta 90.00
_cell_angle_gamma 90.00
loop_
_atom_site_label
_atom_site_fract_x
_atom_site_fract_y
_atom_site_fract_z
Pu1 0.176 0.324 0.000
Cu1 0.000 0.000 0.000
Si1 0.133 0.633 0.000
Pt1 0.000 0.500 0.500
Pt2 0.060 0.803 0.500

---

# 4
# PBE-GGA PmAlGa2Ni4, optimized geometry
# ΔE_f (meV per atom): -491
data_PmAlGa2Ni4
_chemical_formula_sum 'Pm3 Al3 Ga6 Ni12'
_space_group_name_H-M_alt 'R -3 m'
_space_group_IT_number 166
_space_group_name_Hall '-R 3 2"'
_cell_length_a 4.0801
_cell_length_b 4.0801
_cell_length_c 24.9415
_cell_angle_alpha 90.00
_cell_angle_beta 90.00
_cell_angle_gamma 120.00
loop_
_atom_site_label
_atom_site_fract_x
_atom_site_fract_y
_atom_site_fract_z
Pm1 0.0000 0.0000 0.0000
Al1 0.0000 0.0000 0.5000
Ga1 0.0000 0.0000 0.2398
Ni1 0.0000 0.0000 0.1342
Ni2 0.0000 0.0000 0.4061

---

# 5
# PBE-GGA LiSi2Ni, optimized geometry
# Relative energy among the computed polymorphs (kJ/mol of atoms): 32.6
# Formation energy without anion corrections (eV/atom): -0.018
data_LiSi2Ni
_chemical_formula_sum 'Li4 Si8 Ni4'
_space_group_name_H-M_alt 'F -4 3 m'
_space_group_IT_number 216
_space_group_name_Hall 'F -4 2 3'
_cell_length_a 5.819
_cell_length_b 5.819
_cell_length_c 5.819
_cell_angle_alpha 90.00
_cell_angle_beta 90.00
_cell_angle_gamma 90.00
loop_
_atom_site_label
_atom_site_fract_x
_atom_site_fract_y
_atom_site_fract_z
Li1 0.000 0.000 0.000
Si1 0.000 0.000 0.500
Si2 0.250 0.250 0.250
Ni1 0.250 0.250 0.750

---

# 6
# PBE-GGA NaAc2F, optimized geometry
# Formation energy without anion corrections (eV/atom): -0.943
data_NaAc2F
_chemical_formula_sum 'Na3 Ac6 F3'
_space_group_name_H-M_alt 'R -3 m'
_space_group_IT_number 166
_space_group_name_Hall '-R 3 2"'
_cell_length_a 4.0196
_cell_length_b 4.0196
_cell_length_c 31.8555
_cell_angle_alpha 90.00
_cell_angle_beta 90.00
_cell_angle_gamma 120.00
loop_
_atom_site_label
_atom_site_fract_x
_atom_site_fract_y
_atom_site_fract_z
Na1 0.0000 0.0000 0.0000
Ac1 0.0000 0.0000 0.1174
F1 0.0000 0.0000 0.5000

---

# 7
# PBE-GGA Sr5Cr2N6, optimized geometry
# Formation energy without anion corrections (eV/atom): -0.819
data_Sr5Cr2N6
_chemical_formula_sum 'Sr20 Cr8 N24'
_space_group_name_H-M_alt 'C 1 2/c 1'
_space_group_IT_number 15
_space_group_name_Hall '-C 2yc'
_cell_length_a 10.316
_cell_length_b 6.601
_cell_length_c 13.594
_cell_angle_alpha 90.00
_cell_angle_beta 101.88
_cell_angle_gamma 90.00
loop_
_atom_site_label
_atom_site_fract_x
_atom_site_fract_y
_atom_site_fract_z
Sr1 0.000 0.109 0.250
Sr2 0.070 0.239 0.996
Sr3 0.157 0.409 0.720
Cr1 0.224 0.362 0.429
N1 0.062 0.443 0.374
N2 0.155 0.042 0.638
N3 0.227 0.072 0.435

---

# 8
# PBE-GGA ZnFeRe, optimized geometry
# Relative energy among the computed polymorphs (kJ/mol of atoms): 27.7
# ΔE_f (meV per atom): 395
data_ZnFeRe
_chemical_formula_sum 'Zn4 Fe4 Re4'
_space_group_name_H-M_alt 'F -4 3 m'
_space_group_IT_number 216
_space_group_name_Hall 'F -4 2 3'
_cell_length_a 5.601
_cell_length_b 5.601
_cell_length_c 5.601
_cell_angle_alpha 90.00
_cell_angle_beta 90.00
_cell_angle_gamma 90.00
loop_
_atom_site_label
_atom_site_fract_x
_atom_site_fract_y
_atom_site_fract_z
Zn1 0.000 0.000 0.000
Fe1 0.250 0.250 0.750
Re1 0.000 0.000 0.500

---

no.,VASP energy (eV/cell),ρ (g/cm³)
1,-288.45,6.671
2,-149.20,9.059
3,-160.36,15.409
4,-124.80,7.567
5,-74.45,4.105
6,-45.54,5.543
7,-353.01,4.591
8,-84.00,11.620